## U2TaCo9 (PBE)

Data for a geometry-optimized U2TaCo9 structure.

Values from the calculation:
Space group = P4/mmm
Formation energy = -0.255 eV per atom
Uncorrected energy = -8.454 eV/atom
Mass density = 12.843 g cm⁻³

Cell lengths 3.720, 3.720, 11.096 Å; angles 90.00, 90.00, 90.00 degrees
Atoms (fractional coordinates):
U 0.000 0.000 0.329
U 0.000 0.000 0.671
Ta 0.000 0.000 0.000
Co 0.500 0.500 0.000
Co 0.500 0.500 0.331
Co 0.500 0.500 0.669
Co 0.500 0.000 0.163
Co 0.500 0.000 0.500
Co 0.500 0.000 0.837
Co 0.000 0.500 0.163
Co 0.000 0.500 0.500
Co 0.000 0.500 0.837